Below is crystalline NaMgCr3 at its relaxed geometry, with properties calculated at the PBE-GGA level.

Structure (POSCAR):
```
NaMgCr3
1.0
-3.080 -0.031 -3.963
3.761 -1.605 -2.911
-1.250 -4.756 1.008
Cr Na Mg
3 1 1
Cartesian
-0.625 -2.378 0.504 Cr
-1.540 -0.015 -1.982 Cr
1.881 -0.803 -1.455 Cr
0.000 0.000 0.000 Na
-0.284 -3.196 -2.933 Mg
```

Results
Distance to the lowest polymorph of the same formula   237.9 meV/atom
Crystal system   cubic
ΔH_f (0 K)   1745 meV/atom
E   -23.06 eV/f.u.
Space-group type   Pm-3m (221)
DOS at the Fermi energy   3.30 states/eV per cell

---

Below is crystalline Er2Al4Pd3Au at its relaxed geometry, with properties calculated at the PBE-GGA level.

Structure (POSCAR):
```
Er2Al4Pd3Au
1.0
4.160 0.000 0.000
0.000 4.160 0.000
0.000 0.000 10.830
Al Er Pd Au
4 2 3 1
Cartesian
2.080 0.000 6.891 Al
0.000 0.000 0.000 Al
0.000 2.080 3.939 Al
2.080 2.080 0.000 Al
2.080 0.000 2.617 Er
0.000 2.080 8.213 Er
0.000 0.000 5.415 Pd
2.080 0.000 9.352 Pd
0.000 2.080 1.478 Pd
2.080 2.080 5.415 Au
```

Results
Crystal system   tetragonal
ΔH_f (0 K)   -804 meV/atom
E   -50.99 eV/f.u.
Space-group type   P-4m2 (115)
DOS at the Fermi energy   4.28 states/eV per cell